# 1
The following is a GGA-PBE calculation of Sr2MgF8 after structural relaxation, from Alexandria via LeMat-Bulk.

a = 4.2574 Å, b = 5.8235 Å, c = 7.2507 Å
α = 92.15°, β = 92.95°, γ = 102.64°
With the nearest neighbours (Å) after each atom.
Sites, in units of the cell vectors:
1 Sr 0.2326 0.4796 0.2594  7 F 2.46-2.59
2 Sr 0.7674 0.5204 0.7406  7 F 2.46-2.59
3 Mg 0.5000 0.0000 0.0000  6 F 1.98-2.07
4 F 0.1449 0.0502 0.1571  1 Mg 2.00, 1 F 2.11
5 F 0.2149 0.3970 0.5921  3 Sr 2.46-2.48, 2 F 2.52-2.72
6 F 0.2986 0.6626 0.9439  1 Mg 1.98
7 F 0.4750 0.0870 0.7268  1 Mg 2.07, 1 F 2.11
8 F 0.5250 0.9130 0.2732  1 Mg 2.07, 1 F 2.11
9 F 0.7014 0.3374 0.0561  1 Mg 1.98
10 F 0.7851 0.6030 0.4079  3 Sr 2.46-2.48, 2 F 2.52-2.72
11 F 0.8551 0.9498 0.8429  1 Mg 2.00, 1 F 2.11

Summary:
formation energy (no corrections): -3002.9 meV per atom
final energy: -4.81 eV/atom

# 2
The following is a GGA-PBE calculation of SrMg2F after structural relaxation, from Alexandria via LeMat-Bulk.

a = 6.8115 Å, b = 6.8115 Å, c = 6.8115 Å
α = 120.27°, β = 120.27°, γ = 89.54°
With the nearest neighbours (Å) after each atom.
Sites, in units of the cell vectors:
1 Sr 0.0000 0.0000 0.0000  12 Mg 3.97-4.00, 4 F 4.17, 4 Sr 4.17
2 Sr 0.7500 0.2500 0.5000  12 Mg 3.97-4.00, 4 F 4.17, 4 Sr 4.17
3 Mg 0.3737 0.1250 0.7487  2 F 2.08
4 Mg 0.3750 0.6263 0.7513  2 F 2.08
5 Mg 0.3763 0.6250 0.2513  2 F 2.08
6 Mg 0.8750 0.6237 0.2487  2 F 2.08
7 F 0.2500 0.7500 0.5000  4 Mg 2.08
8 F 0.5000 0.5000 0.0000  4 Mg 2.08

Summary:
formation energy (no corrections): -1031.6 meV per atom
final energy: -2.72 eV/atom

# 3
The following is a GGA-PBE calculation of SrMgF2 after structural relaxation, from Alexandria via LeMat-Bulk.

a = 6.3693 Å, b = 6.3693 Å, c = 6.3693 Å
α = 36.88°, β = 36.88°, γ = 36.88°
With the nearest neighbours (Å) after each atom.
Sites, in units of the cell vectors:
1 Sr 0.0000 0.0000 0.0000  6 F 2.49
2 Mg 0.5000 0.5000 0.5000  2 F 2.08
3 F 0.3830 0.3830 0.3830  1 Mg 2.08
4 F 0.6170 0.6170 0.6170  1 Mg 2.08

Summary:
formation energy (no corrections): -2697.5 meV per atom
final energy: -4.45 eV/atom